Material: La2WCl
Method: DFT, GGA-PBE
State: optimized geometry

It has space group Cmmm (No. 65), with a = 4.915 Å, b = 4.979 Å, c = 8.475 Å, α = 90.00°, β = 90.00° and γ = 90.00°. Symmetry generates all atoms from La at (0.000, 0.000, 0.222), W at (0.000, 0.500, 0.000) and Cl at (0.000, 0.500, 0.500).

For the energy above the lowest structure with this stoichiometry, the calculation gives 13.8 meV per atom. The density of states at the Fermi level is 10.2 states/eV/cell. For the formation energy (no corrections), the calculation gives -32 kJ/mol of atoms.